No. 1
# Sc2CoRu PBE optimized geometry
# * density of states at the Fermi level: 4.90 states/eV/cell
# * DFT formation energy: -98.4 meV/atom
# * ΔE to the lowest computed polymorph: 369 meV/atom
# * total magnetization: 0.05 μB per atom
data_Sc2CoRu
_cell_length_a 2.987
_cell_length_b 4.189
_cell_length_c 5.327
_cell_angle_alpha 90.00
_cell_angle_beta 90.00
_cell_angle_gamma 90.00
_space_group_name_H-M_alt 'P m m 2'
_space_group_IT_number 25
_space_group_name_Hall 'P 2 -2'
loop_
_atom_site_label
_atom_site_fract_x
_atom_site_fract_y
_atom_site_fract_z
Sc1 0.000 0.000 0.000
Sc2 0.500 0.500 0.356
Co1 0.000 0.000 0.518
Ru1 0.500 0.500 0.838

No. 2
# Sc3CoRu PBE optimized geometry
# * density of states at the Fermi level: 4.00 states/eV/cell
# * DFT formation energy: 181.0 meV/atom
# * ΔE to the lowest computed polymorph: 0 meV/atom
# * total magnetization: 0.00 μB per atom
data_Sc3CoRu
_cell_length_a 4.661
_cell_length_b 4.661
_cell_length_c 4.661
_cell_angle_alpha 90.00
_cell_angle_beta 90.00
_cell_angle_gamma 90.00
_space_group_name_H-M_alt 'P m -3 m'
_space_group_IT_number 221
_space_group_name_Hall '-P 4 2 3'
loop_
_atom_site_label
_atom_site_fract_x
_atom_site_fract_y
_atom_site_fract_z
Sc1 0.000 0.000 0.500
Co1 0.000 0.000 0.000
Ru1 0.500 0.500 0.500

No. 3
# ScCoRu4 PBE optimized geometry
# * density of states at the Fermi level: 37.24 states/eV/cell
# * DFT formation energy: 205.7 meV/atom
# * total magnetization: 0.64 μB per atom
data_ScCoRu4
_cell_length_a 7.218
_cell_length_b 7.218
_cell_length_c 7.218
_cell_angle_alpha 90.00
_cell_angle_beta 90.00
_cell_angle_gamma 90.00
_space_group_name_H-M_alt 'F -4 3 m'
_space_group_IT_number 216
_space_group_name_Hall 'F -4 2 3'
loop_
_atom_site_label
_atom_site_fract_x
_atom_site_fract_y
_atom_site_fract_z
Sc1 0.000 0.000 0.000
Co1 0.250 0.250 0.250
Ru1 0.125 0.125 0.625

No. 4
# Sc8CoRu2 PBE optimized geometry
# * density of states at the Fermi level: 19.53 states/eV/cell
# * DFT formation energy: -235.6 meV/atom
# * total magnetization: 0.00 μB per atom
data_Sc8CoRu2
_cell_length_a 7.767
_cell_length_b 11.838
_cell_length_c 5.316
_cell_angle_alpha 90.00
_cell_angle_beta 110.41
_cell_angle_gamma 90.00
_space_group_name_H-M_alt 'C 1 m 1'
_space_group_IT_number 8
_space_group_name_Hall 'C -2y'
loop_
_atom_site_label
_atom_site_fract_x
_atom_site_fract_y
_atom_site_fract_z
Sc1 0.000 0.000 0.000
Sc2 0.074 0.372 0.792
Sc3 0.156 0.127 0.582
Sc4 0.221 0.500 0.380
Sc5 0.361 0.206 0.190
Co1 0.357 0.000 0.285
Ru1 0.366 0.310 0.689

No. 5
# Sc3CoRu2 PBE optimized geometry
# * density of states at the Fermi level: 10.24 states/eV/cell
# * DFT formation energy: -486.7 meV/atom
# * total magnetization: 0.00 μB per atom
data_Sc3CoRu2
_cell_length_a 4.504
_cell_length_b 13.458
_cell_length_c 3.192
_cell_angle_alpha 90.00
_cell_angle_beta 90.00
_cell_angle_gamma 90.00
_space_group_name_H-M_alt 'C m m m'
_space_group_IT_number 65
_space_group_name_Hall '-C 2 2'
loop_
_atom_site_label
_atom_site_fract_x
_atom_site_fract_y
_atom_site_fract_z
Sc1 0.000 0.000 0.000
Sc2 0.000 0.334 0.000
Co1 0.000 0.500 0.500
Ru1 0.000 0.165 0.500

No. 6
# Sc5CoRu4 PBE optimized geometry
# * density of states at the Fermi level: 11.06 states/eV/cell
# * DFT formation energy: -507.2 meV/atom
# * total magnetization: 0.00 μB per atom
data_Sc5CoRu4
_cell_length_a 3.200
_cell_length_b 3.200
_cell_length_c 15.915
_cell_angle_alpha 90.00
_cell_angle_beta 90.00
_cell_angle_gamma 90.00
_space_group_name_H-M_alt 'P 4/m m m'
_space_group_IT_number 123
_space_group_name_Hall '-P 4 2'
loop_
_atom_site_label
_atom_site_fract_x
_atom_site_fract_y
_atom_site_fract_z
Sc1 0.000 0.000 0.000
Sc2 0.000 0.000 0.202
Sc3 0.000 0.000 0.402
Co1 0.500 0.500 0.500
Ru1 0.500 0.500 0.101
Ru2 0.500 0.500 0.304

No. 7
# Sc2CoRu PBE optimized geometry
# * density of states at the Fermi level: 19.96 states/eV/cell
# * DFT formation energy: 54.9 meV/atom
# * ΔE to the lowest computed polymorph: 522 meV/atom
# * total magnetization: 0.02 μB per atom
data_Sc2CoRu
_cell_length_a 6.850
_cell_length_b 6.850
_cell_length_c 5.738
_cell_angle_alpha 90.00
_cell_angle_beta 90.00
_cell_angle_gamma 90.00
_space_group_name_H-M_alt 'I -4 2 d'
_space_group_IT_number 122
_space_group_name_Hall 'I -4 2bw'
loop_
_atom_site_label
_atom_site_fract_x
_atom_site_fract_y
_atom_site_fract_z
Sc1 0.233 0.250 0.125
Co1 0.000 0.000 0.000
Ru1 0.000 0.000 0.500

No. 8
# Sc2CoRu PBE optimized geometry
# * density of states at the Fermi level: 12.62 states/eV/cell
# * DFT formation energy: 208.3 meV/atom
# * ΔE to the lowest computed polymorph: 676 meV/atom
# * total magnetization: 0.47 μB per atom
data_Sc2CoRu
_cell_length_a 3.0847
_cell_length_b 3.0847
_cell_length_c 26.2022
_cell_angle_alpha 90.00
_cell_angle_beta 90.00
_cell_angle_gamma 120.00
_space_group_name_H-M_alt 'R 3 m'
_space_group_IT_number 160
_space_group_name_Hall 'R 3 -2"'
loop_
_atom_site_label
_atom_site_fract_x
_atom_site_fract_y
_atom_site_fract_z
Sc1 0.0000 0.0000 0.0000
Sc2 0.0000 0.0000 0.2200
Co1 0.0000 0.0000 0.7407
Ru1 0.0000 0.0000 0.4785